Li3InSb: optimized geometry, GGA-PBE.

a = 8.327 Å, b = 8.327 Å, c = 8.327 Å
α = 41.24°, β = 41.24°, γ = 41.24°
Element x y z (fractional)
Li (0.773, 0.773, 0.269)
Sb (0.705, 0.705, 0.705)
In (0.170, 0.170, 0.170)
Li (0.269, 0.773, 0.773)
Li (0.731, 0.227, 0.227)
Li (0.227, 0.731, 0.227)
Sb (0.295, 0.295, 0.295)
In (0.830, 0.830, 0.830)
Li (0.773, 0.269, 0.773)
Li (0.227, 0.227, 0.731)

Summary:
Calculated total energy, eV per cell: -27.84
Crystal system: trigonal
Formation energy from raw total energies, eV per atom: -0.264

=====

LiInSb2: optimized geometry, GGA-PBE.

a = 4.433 Å, b = 4.743 Å, c = 4.867 Å
α = 90.00°, β = 90.00°, γ = 90.00°
Element x y z (fractional)
Li (0.000, 0.500, 0.500)
Sb (0.500, 0.500, 0.000)
In (0.500, 0.000, 0.500)
Sb (0.000, 0.000, 0.000)

Summary:
Calculated total energy, eV per cell: -13.38
Crystal system: orthorhombic
Formation energy from raw total energies, eV per atom: -0.120

=====

Li3InSb: optimized geometry, GGA-PBE.

a = 5.163 Å, b = 5.163 Å, c = 5.163 Å
α = 90.00°, β = 90.00°, γ = 90.00°
Element x y z (fractional)
Li (0.500, 0.000, 0.000)
In (0.500, 0.500, 0.500)
Sb (0.000, 0.000, 0.000)
Li (0.000, 0.500, 0.000)
Li (0.000, 0.000, 0.500)

Summary:
Calculated total energy, eV per cell: -13.44
Crystal system: cubic
Formation energy from raw total energies, eV per atom: -0.168

=====

Li8In2Sb: optimized geometry, GGA-PBE.

a = 4.684 Å, b = 5.532 Å, c = 8.087 Å
α = 91.63°, β = 106.84°, γ = 90.00°
Element x y z (fractional)
In (0.785, 0.369, 0.569)
In (0.215, 0.631, 0.431)
Li (0.683, 0.907, 0.367)
Li (0.039, 0.745, 0.077)
Li (0.961, 0.255, 0.923)
Li (0.860, 0.843, 0.721)
Li (0.140, 0.157, 0.279)
Li (0.317, 0.093, 0.633)
Sb (0.500, 0.000, 0.000)
Li (0.403, 0.546, 0.806)
Li (0.597, 0.454, 0.194)

Summary:
Calculated total energy, eV per cell: -29.03
Crystal system: monoclinic
Formation energy from raw total energies, eV per atom: -0.375

=====

LiInSb2: optimized geometry, GGA-PBE.

a = 6.868 Å, b = 6.868 Å, c = 7.312 Å
α = 61.99°, β = 61.99°, γ = 90.00°
Element x y z (fractional)
Sb (0.375, 0.390, 0.750)
Li (0.250, 0.750, 0.500)
In (0.000, 0.000, 0.000)
Li (0.500, 0.500, 0.000)
Sb (0.140, 0.625, 0.250)
In (0.750, 0.250, 0.500)
Sb (0.610, 0.125, 0.250)
Sb (0.875, 0.860, 0.750)

Summary:
Calculated total energy, eV per cell: -25.07
Crystal system: tetragonal
Formation energy from raw total energies, eV per atom: 0.091

=====

LiInSb2: optimized geometry, GGA-PBE.

a = 3.188 Å, b = 3.188 Å, c = 10.035 Å
α = 90.00°, β = 90.00°, γ = 90.20°
Element x y z (fractional)
Sb (0.500, 0.500, 0.275)
Li (0.500, 0.500, 0.755)
Sb (0.000, 0.000, 0.952)
In (0.000, 0.000, 0.518)

Summary:
Calculated total energy, eV per cell: -13.12
Crystal system: orthorhombic
Formation energy from raw total energies, eV per atom: -0.055

=====

LiInSb2: optimized geometry, GGA-PBE.

a = 5.008 Å, b = 5.008 Å, c = 5.946 Å
α = 73.47°, β = 73.47°, γ = 48.26°
Element x y z (fractional)
Sb (0.497, 0.497, 0.444)
In (0.750, 0.750, 0.750)
Li (0.250, 0.250, 0.250)
Sb (0.003, 0.003, 0.056)

Summary:
Calculated total energy, eV per cell: -13.55
Crystal system: monoclinic
Formation energy from raw total energies, eV per atom: -0.163

=====

LiInSb3: optimized geometry, GGA-PBE.

a = 5.121 Å, b = 5.121 Å, c = 5.121 Å
α = 90.00°, β = 90.00°, γ = 90.00°
Element x y z (fractional)
Sb (0.500, 0.000, 0.000)
In (0.500, 0.500, 0.500)
Sb (0.000, 0.000, 0.500)
Sb (0.000, 0.500, 0.000)
Li (0.000, 0.000, 0.000)

Summary:
Calculated total energy, eV per cell: -15.72
Crystal system: cubic
Formation energy from raw total energies, eV per atom: 0.259

=====

Repeat the second record exactly.
LiInSb2: optimized geometry, GGA-PBE.

a = 4.433 Å, b = 4.743 Å, c = 4.867 Å
α = 90.00°, β = 90.00°, γ = 90.00°
Element x y z (fractional)
Li (0.000, 0.500, 0.500)
Sb (0.500, 0.500, 0.000)
In (0.500, 0.000, 0.500)
Sb (0.000, 0.000, 0.000)

Summary:
Calculated total energy, eV per cell: -13.38
Crystal system: orthorhombic
Formation energy from raw total energies, eV per atom: -0.120

=====

> The highest formation energy from raw total energies belongs to which entry?

LiInSb3

=====

> Which formula does entry 4 have?

Li8In2Sb

=====

> What is the calculated total energy in the sixth record?

-13.12 eV per cell